Entry from Alexandria via LeMat-Bulk: an optimized crystal structure of NaReHgBr6 (GGA-PBE).

Output
electronic total energy	-3.19	eV per atom
energy relative to the elements, uncorrected	-0.5131	eV per atom

Cell lengths 7.261, 7.261, 12.578 Å; angles 90.00, 90.00, 120.00 degrees
Site moments in Bohr magnetons follow the coordinates.
Atoms (fractional coordinates):
Na (0.333, 0.667, 0.250)  0.00
Na (0.667, 0.333, 0.750)  0.00
Re (0.667, 0.333, 0.250)  1.93
Re (0.333, 0.667, 0.750)  1.93
Hg (0.000, 0.000, 0.000)  -0.16
Hg (0.000, 0.000, 0.500)  -0.16
Br (0.653, 0.609, 0.132)  0.02
Br (0.955, 0.347, 0.132)  0.02
Br (0.347, 0.955, 0.632)  0.02
Br (0.045, 0.653, 0.868)  0.02
Br (0.391, 0.347, 0.368)  0.02
Br (0.955, 0.609, 0.368)  0.02
Br (0.609, 0.955, 0.868)  0.02
Br (0.653, 0.045, 0.368)  0.02
Br (0.045, 0.391, 0.632)  0.02
Br (0.391, 0.045, 0.132)  0.02
Br (0.609, 0.653, 0.632)  0.02
Br (0.347, 0.391, 0.868)  0.02